Density functional theory data (PBE) for Th2Mn2Ni15 after structural relaxation.

Calculated values
Energy of formation from the pure elements, kJ/mol of atoms: -24.80
M_tot, μB/cell: 11.46
DOS at the Fermi energy, states/eV/cell: 20.1
V, Å³ per cell: 249

CIF file:
```
data_Th2Mn2Ni15
_symmetry_space_group_name_H-M 'P 1'
_symmetry_Int_Tables_number 1
_cell_length_a 6.343
_cell_length_b 6.343
_cell_length_c 6.343
_cell_angle_alpha 82.56
_cell_angle_beta 82.56
_cell_angle_gamma 82.56
loop_
_symmetry_equiv_pos_as_xyz
'x,y,z'
loop_
_atom_site_label
_atom_site_type_symbol
_atom_site_fract_x
_atom_site_fract_y
_atom_site_fract_z
Ni1 Ni 0.344 0.845 0.344
Ni2 Ni 0.295 0.000 0.705
Mn1 Mn 0.900 0.900 0.900
Ni3 Ni 0.000 0.295 0.705
Ni4 Ni 0.656 0.656 0.155
Ni5 Ni 0.000 0.500 0.000
Ni6 Ni 0.705 0.295 0.000
Mn2 Mn 0.100 0.100 0.100
Ni7 Ni 0.295 0.705 0.000
Ni8 Ni 0.000 0.705 0.295
Ni9 Ni 0.000 0.000 0.500
Th1 Th 0.656 0.656 0.656
Ni10 Ni 0.845 0.344 0.344
Ni11 Ni 0.155 0.656 0.656
Ni12 Ni 0.500 0.000 0.000
Ni13 Ni 0.705 0.000 0.295
Ni14 Ni 0.656 0.155 0.656
Th2 Th 0.344 0.344 0.344
Ni15 Ni 0.344 0.344 0.845
```